First-principles (GGA-PBE) data for a relaxed structure of LiTeCl2, as listed in Alexandria.

abc: 3.257 3.257 8.030
angles: 90.00 90.00 90.00
Positions (direct):
Li 0.000 0.000 0.000
Te 0.000 0.000 0.500
Cl 0.500 0.500 0.192
Cl 0.500 0.500 0.808

Total DFT energy (no corrections) ... -2.803 eV/atom
Formation energy without anion corrections ... -616 meV per atom
Energy above the most stable polymorph in this dataset ... 333 meV/atom